Below is crystalline TbY3Tl2 at its relaxed geometry, with properties calculated at the GGA-PBE level.

Output
As for the magnetization: 0.0 μB/cell. The energy relative to the lowest polymorph listed for this composition comes out at 0.000 eV per atom. For the formation enthalpy at 0 K, the calculation gives -299 meV/atom.

Cell: 5.0987 10.0105 6.8458 Å, 90.00 90.00 90.00°
Positions (direct):
Tb (0.0000, 0.0432, 0.0000)
Tb (0.0000, 0.9568, 0.5000)
Y (0.0000, 0.3125, 0.6251)
Y (0.0000, 0.6875, 0.1251)
Y (0.5000, 0.1881, 0.2808)
Y (0.5000, 0.4561, 0.9068)
Y (0.5000, 0.5439, 0.4068)
Y (0.5000, 0.8119, 0.7808)
Tl (0.0000, 0.3677, 0.1625)
Tl (0.0000, 0.6323, 0.6625)
Tl (0.5000, 0.1328, 0.7445)
Tl (0.5000, 0.8672, 0.2445)